[1]
Entry from Alexandria: a relaxed KPu2CrO8 crystal (PBE+U).

Computed properties:
uncorrected energy	-8.610	eV per atom

abc: 4.939 4.939 6.911
angles: 90.03 90.03 86.68
Positions (direct):
K: 0.000 0.000 0.000
Pu: 0.500 0.500 0.259
Pu: 0.500 0.500 0.741
Cr: 0.000 0.000 0.500
O: 0.213 0.786 0.293
O: 0.214 0.787 0.707
O: 0.295 0.295 0.500
O: 0.337 0.337 0.001
O: 0.663 0.663 0.999
O: 0.705 0.705 0.500
O: 0.786 0.213 0.293
O: 0.787 0.214 0.707

***

[2]
Entry from Alexandria: a relaxed MnBeIO2 crystal (PBE+U).

Computed properties:
offset from the most stable computed form	0	meV/atom

abc: 3.755 3.755 5.313
angles: 90.00 90.00 90.00
Positions (direct):
Mn: 0.000 0.000 0.000
Be: 0.500 0.500 0.500
I: 0.500 0.500 0.000
O: 0.000 0.500 0.500
O: 0.500 0.000 0.500

***

| no. | mass density (kg/m3) |
| --- | --- |
| 1 | 6977 |
| 2 | 4940 |